Here is a relaxed LiBe2Ir crystal from Alexandria via LeMat-Bulk. Energies are from PBE.

a b c (Å): 2.9018 2.9018 5.2668
angles (deg): 90.00 90.00 90.00
Element x y z (fractional)
Li 0.0000 0.0000 0.0000
Be 0.0000 0.0000 0.5057
Be 0.5000 0.5000 0.2782
Ir 0.5000 0.5000 0.7104

Summary:
Calculated total energy in eV/atom: -4.6647
ρ in g/cm³: 8.1
Total magnetization in μB per formula unit: 0.0
Crystal system: tetragonal

Here is a relaxed Ho8Te3AsS3 crystal from Alexandria via LeMat-Bulk. Energies are from PBE.

a b c (Å): 8.2996 8.2996 8.2996
angles (deg): 58.15 58.15 58.15
Element x y z (fractional)
Ho 0.2277 0.7444 0.7444
Ho 0.2335 0.2335 0.2335
Ho 0.2556 0.2556 0.7723
Ho 0.2556 0.7723 0.2556
Ho 0.7444 0.2277 0.7444
Ho 0.7444 0.7444 0.2277
Ho 0.7665 0.7665 0.7665
Ho 0.7723 0.2556 0.2556
Te 0.0000 0.5000 0.5000
Te 0.5000 0.0000 0.5000
Te 0.5000 0.5000 0.0000
As 0.5000 0.5000 0.5000
S 0.0000 0.0000 0.5000
S 0.0000 0.5000 0.0000
S 0.5000 0.0000 0.0000

Summary:
Calculated total energy in eV/atom: -5.6939
ρ in g/cm³: 8.0
Total magnetization in μB per formula unit: 0.0
Crystal system: trigonal

Here is a relaxed Th2BeBi crystal from Alexandria via LeMat-Bulk. Energies are from PBE.

a b c (Å): 11.9355 11.9355 11.9355
angles (deg): 16.50 16.50 16.50
Element x y z (fractional)
Th 0.0848 0.0848 0.0848
Th 0.9152 0.9152 0.9152
Be 0.0000 0.0000 0.0000
Bi 0.5000 0.5000 0.5000

Summary:
Calculated total energy in eV/atom: -4.9481
ρ in g/cm³: 9.5
Total magnetization in μB per formula unit: 0.0
Crystal system: trigonal